The following is a DFT calculation (PBE) of a geometry-optimized La2BeTcRh structure.

abc: 5.350 5.350 4.055
angles: 90.00 90.00 90.00
Element x y z (fractional)
1 La 0.000 0.500 0.000
2 La 0.500 0.000 0.000
3 Be 0.000 0.000 0.000
4 Tc 0.000 0.000 0.500
5 Rh 0.500 0.500 0.500

total DFT energy (no corrections) = -5.89 eV per atom